Record 1
! MgHgSb2 GGA-PBE optimized geometry; values from VASP
! DFT total energy = -0.095 Ha/atom
! E_form (uncorrected) = -0.04 eV/atom
! excess energy over the best structure of this formula in the dataset = 0.0 meV per atom
! total magnetic moment = 0.0 μB per cell
! space-group type = No. 38
&SYSTEM
  ibrav = 0, nat = 4, ntyp = 3
/
ATOMIC_SPECIES
Mg 24.30 Mg.upf
Hg 200.59 Hg.upf
Sb 121.76 Sb.upf
ATOMIC_POSITIONS crystal
Mg 0.000 0.000 0.000
Hg 0.500 0.775 0.775
Sb 0.000 0.510 0.510
Sb 0.500 0.262 0.262
CELL_PARAMETERS angstrom
5.384 0.000 0.000
0.000 2.974 3.254
0.000 -2.974 3.254

Record 2
! AlTe2Ir GGA-PBE optimized geometry; values from VASP
! DFT total energy = -0.161 Ha/atom
! E_form (uncorrected) = 0.35 eV/atom
! excess energy over the best structure of this formula in the dataset = 601.7 meV per atom
! total magnetic moment = 0.0 μB per cell
! space-group type = No. 123
&SYSTEM
  ibrav = 0, nat = 4, ntyp = 3
/
ATOMIC_SPECIES
Al 26.98 Al.upf
Te 127.60 Te.upf
Ir 192.22 Ir.upf
ATOMIC_POSITIONS crystal
Al 0.000 0.000 0.000
Te 0.000 0.500 0.500
Te 0.500 0.000 0.500
Ir 0.500 0.500 0.000
CELL_PARAMETERS angstrom
5.046 0.000 0.000
0.000 5.046 0.000
0.000 0.000 3.203

Record 3
! KTiPtO4 GGA-PBE optimized geometry; values from VASP
! DFT total energy = -0.243 Ha/atom
! E_form (uncorrected) = -1.64 eV/atom
! total magnetic moment = 0.4 μB per cell
! space-group type = No. 74
&SYSTEM
  ibrav = 0, nat = 14, ntyp = 4
/
ATOMIC_SPECIES
K 39.10 K.upf
Ti 47.87 Ti.upf
Pt 195.08 Pt.upf
O 16.00 O.upf
ATOMIC_POSITIONS crystal
K 0.407 0.157 0.250
K 0.593 0.843 0.750
Ti 0.000 0.500 0.500
Ti 0.500 0.500 0.000
Pt 0.000 0.000 0.500
Pt 0.000 0.500 0.000
O 0.142 0.682 0.460
O 0.255 0.285 0.531
O 0.255 0.724 0.969
O 0.278 0.318 0.960
O 0.722 0.682 0.040
O 0.745 0.276 0.031
O 0.745 0.715 0.469
O 0.858 0.318 0.540
CELL_PARAMETERS angstrom
-2.803 2.949 6.123
2.803 -2.949 6.123
2.803 2.949 -6.123

Record 4
! CeU2Re GGA-PBE optimized geometry; values from VASP
! DFT total energy = -0.366 Ha/atom
! excess energy over the best structure of this formula in the dataset = 20.6 meV per atom
! total magnetic moment = 3.8 μB per cell
! space-group type = No. 166
! formation enthalpy at 0 K = 281 meV/atom
&SYSTEM
  ibrav = 0, nat = 4, ntyp = 3
/
ATOMIC_SPECIES
Ce 140.12 Ce.upf
U 238.03 U.upf
Re 186.21 Re.upf
ATOMIC_POSITIONS crystal
Ce 0.000 0.000 0.000
U 0.247 0.247 0.247
U 0.753 0.753 0.753
Re 0.500 0.500 0.500
CELL_PARAMETERS angstrom
2.304 1.330 4.562
-2.304 1.330 4.562
0.000 -2.661 4.562

Record 5
! Na3SnTe3 GGA-PBE optimized geometry; values from VASP
! DFT total energy = -0.115 Ha/atom
! E_form (uncorrected) = -0.63 eV/atom
! excess energy over the best structure of this formula in the dataset = 0.0 meV per atom
! total magnetic moment = 0.0 μB per cell
! space-group type = No. 198
&SYSTEM
  ibrav = 0, nat = 28, ntyp = 3
/
ATOMIC_SPECIES
Na 22.99 Na.upf
Sn 118.71 Sn.upf
Te 127.60 Te.upf
ATOMIC_POSITIONS crystal
Na 0.066 0.434 0.566
Na 0.158 0.158 0.158
Na 0.183 0.817 0.317
Na 0.317 0.183 0.817
Na 0.342 0.842 0.658
Na 0.434 0.566 0.066
Na 0.566 0.066 0.434
Na 0.658 0.342 0.842
Na 0.683 0.683 0.683
Na 0.817 0.317 0.183
Na 0.842 0.658 0.342
Na 0.934 0.934 0.934
Sn 0.113 0.613 0.887
Sn 0.387 0.387 0.387
Sn 0.613 0.887 0.113
Sn 0.887 0.113 0.613
Te 0.009 0.773 0.631
Te 0.131 0.491 0.227
Te 0.227 0.131 0.491
Te 0.273 0.869 0.991
Te 0.369 0.509 0.727
Te 0.491 0.227 0.131
Te 0.509 0.727 0.369
Te 0.631 0.009 0.773
Te 0.727 0.369 0.509
Te 0.773 0.631 0.009
Te 0.869 0.991 0.273
Te 0.991 0.273 0.869
CELL_PARAMETERS angstrom
9.408 0.000 0.000
0.000 9.408 0.000
0.000 0.000 9.408

Record 6
! Ac6UO12 GGA-PBE optimized geometry; values from VASP
! DFT total energy = -0.310 Ha/atom
! E_form (uncorrected) = -3.42 eV/atom
! total magnetic moment = 0.0 μB per cell
! space-group type = No. 148
&SYSTEM
  ibrav = 0, nat = 19, ntyp = 3
/
ATOMIC_SPECIES
Ac 227.00 Ac.upf
U 238.03 U.upf
O 16.00 O.upf
ATOMIC_POSITIONS crystal
Ac 0.105 0.644 0.807
Ac 0.193 0.895 0.356
Ac 0.356 0.193 0.895
Ac 0.644 0.807 0.105
Ac 0.807 0.105 0.644
Ac 0.895 0.356 0.193
U 0.500 0.500 0.500
O 0.059 0.323 0.906
O 0.094 0.941 0.677
O 0.211 0.540 0.434
O 0.323 0.906 0.059
O 0.434 0.211 0.540
O 0.460 0.566 0.789
O 0.540 0.434 0.211
O 0.566 0.789 0.460
O 0.677 0.094 0.941
O 0.789 0.460 0.566
O 0.906 0.059 0.323
O 0.941 0.677 0.094
CELL_PARAMETERS angstrom
5.425 3.132 3.450
-5.425 3.132 3.450
0.000 -6.264 3.450

Record 7
! Li3Al GGA-PBE optimized geometry; values from VASP
! DFT total energy = -0.088 Ha/atom
! total magnetic moment = 0.0 μB per cell
! space-group type = No. 187
! formation enthalpy at 0 K = -25 meV/atom
&SYSTEM
  ibrav = 0, nat = 4, ntyp = 2
/
ATOMIC_SPECIES
Li 6.94 Li.upf
Al 26.98 Al.upf
ATOMIC_POSITIONS crystal
Li 0.000 0.000 0.000
Li 0.667 0.333 0.262
Li 0.667 0.333 0.738
Al 0.000 0.000 0.500
CELL_PARAMETERS angstrom
2.892 0.000 0.000
-1.446 2.504 0.000
0.000 0.000 9.733

Record 8
! NbPbN2 GGA-PBE optimized geometry; values from VASP
! DFT total energy = -0.288 Ha/atom
! E_form (uncorrected) = -0.24 eV/atom
! total magnetic moment = 0.0 μB per cell
! space-group type = No. 122
&SYSTEM
  ibrav = 0, nat = 8, ntyp = 3
/
ATOMIC_SPECIES
Nb 92.91 Nb.upf
Pb 207.20 Pb.upf
N 14.01 N.upf
ATOMIC_POSITIONS crystal
Nb 0.000 0.000 0.000
Nb 0.750 0.250 0.500
Pb 0.250 0.750 0.500
Pb 0.500 0.500 0.000
N 0.006 0.625 0.881
N 0.375 0.256 0.381
N 0.744 0.125 0.119
N 0.875 0.994 0.619
CELL_PARAMETERS angstrom
-2.763 2.763 4.835
2.763 -2.763 4.835
2.763 2.763 -4.835

Record 9
! BiPtCF2 GGA-PBE optimized geometry; values from VASP
! DFT total energy = -0.150 Ha/atom
! E_form (uncorrected) = 0.49 eV/atom
! total magnetic moment = 0.3 μB per cell
! space-group type = No. 123
&SYSTEM
  ibrav = 0, nat = 5, ntyp = 4
/
ATOMIC_SPECIES
Bi 208.98 Bi.upf
Pt 195.08 Pt.upf
C 12.01 C.upf
F 19.00 F.upf
ATOMIC_POSITIONS crystal
Bi 0.000 0.000 0.000
Pt 0.500 0.500 0.500
C 0.000 0.000 0.500
F 0.000 0.500 0.000
F 0.500 0.000 0.000
CELL_PARAMETERS angstrom
4.331 0.000 0.000
0.000 4.331 0.000
0.000 0.000 4.822

Record 10
! PrZrCrN3 GGA-PBE optimized geometry; values from VASP
! DFT total energy = -0.333 Ha/atom
! E_form (uncorrected) = -1.08 eV/atom
! total magnetic moment = 0.0 μB per cell
! space-group type = No. 11
&SYSTEM
  ibrav = 0, nat = 12, ntyp = 4
/
ATOMIC_SPECIES
Pr 140.91 Pr.upf
Zr 91.22 Zr.upf
Cr 52.00 Cr.upf
N 14.01 N.upf
ATOMIC_POSITIONS crystal
Pr 0.183 0.250 0.191
Pr 0.817 0.750 0.809
Zr 0.354 0.750 0.846
Zr 0.646 0.250 0.154
Cr 0.085 0.250 0.602
Cr 0.915 0.750 0.398
N 0.125 0.250 0.856
N 0.177 0.750 0.524
N 0.433 0.750 0.149
N 0.567 0.250 0.851
N 0.823 0.250 0.476
N 0.875 0.750 0.144
CELL_PARAMETERS angstrom
7.200 0.000 0.000
0.000 3.322 0.000
-1.620 0.000 7.275

Record 11
! NiPW GGA-PBE optimized geometry; values from VASP
! DFT total energy = -0.297 Ha/atom
! total magnetic moment = 0.0 μB per cell
! space-group type = No. 107
! formation enthalpy at 0 K = -25 meV/atom
&SYSTEM
  ibrav = 0, nat = 3, ntyp = 3
/
ATOMIC_SPECIES
Ni 58.69 Ni.upf
P 30.97 P.upf
W 183.84 W.upf
ATOMIC_POSITIONS crystal
Ni 0.000 0.000 0.000
P 0.649 0.649 0.000
W 0.306 0.306 0.000
CELL_PARAMETERS angstrom
-1.490 1.490 4.389
1.490 -1.490 4.389
1.490 1.490 -4.389

Record 12
! CdCu4Sb GGA-PBE optimized geometry; values from VASP
! DFT total energy = -0.129 Ha/atom
! E_form (uncorrected) = 0.06 eV/atom
! total magnetic moment = 0.0 μB per cell
! space-group type = No. 216
&SYSTEM
  ibrav = 0, nat = 6, ntyp = 3
/
ATOMIC_SPECIES
Cd 112.41 Cd.upf
Cu 63.55 Cu.upf
Sb 121.76 Sb.upf
ATOMIC_POSITIONS crystal
Cd 0.000 0.000 0.000
Cu 0.123 0.626 0.626
Cu 0.626 0.123 0.626
Cu 0.626 0.626 0.123
Cu 0.626 0.626 0.626
Sb 0.250 0.250 0.250
CELL_PARAMETERS angstrom
0.000 3.598 3.598
3.598 0.000 3.598
3.598 3.598 0.000

Record 13
! MgZn2Se2 GGA-PBE optimized geometry; values from VASP
! DFT total energy = -0.090 Ha/atom
! E_form (uncorrected) = -0.23 eV/atom
! excess energy over the best structure of this formula in the dataset = 299.9 meV per atom
! total magnetic moment = 0.0 μB per cell
! space-group type = No. 127
&SYSTEM
  ibrav = 0, nat = 10, ntyp = 3
/
ATOMIC_SPECIES
Mg 24.30 Mg.upf
Zn 65.41 Zn.upf
Se 78.96 Se.upf
ATOMIC_POSITIONS crystal
Mg 0.000 0.000 0.000
Mg 0.500 0.500 0.000
Zn 0.110 0.390 0.000
Zn 0.390 0.890 0.000
Zn 0.610 0.110 0.000
Zn 0.890 0.610 0.000
Se 0.233 0.733 0.500
Se 0.267 0.233 0.500
Se 0.733 0.767 0.500
Se 0.767 0.267 0.500
CELL_PARAMETERS angstrom
7.593 0.000 0.000
0.000 7.593 0.000
0.000 0.000 3.678

Record 14
! K2ReBr GGA-PBE optimized geometry; values from VASP
! DFT total energy = -0.119 Ha/atom
! E_form (uncorrected) = 0.84 eV/atom
! excess energy over the best structure of this formula in the dataset = 1016.4 meV per atom
! total magnetic moment = 4.0 μB per cell
! space-group type = No. 225
&SYSTEM
  ibrav = 0, nat = 4, ntyp = 3
/
ATOMIC_SPECIES
K 39.10 K.upf
Re 186.21 Re.upf
Br 79.90 Br.upf
ATOMIC_POSITIONS crystal
K 0.250 0.250 0.250
K 0.750 0.750 0.750
Re 0.000 0.000 0.000
Br 0.500 0.500 0.500
CELL_PARAMETERS angstrom
0.000 4.163 4.163
4.163 0.000 4.163
4.163 4.163 0.000

Record 15
! La15PrTl4 GGA-PBE optimized geometry; values from VASP
! DFT total energy = -0.169 Ha/atom
! total magnetic moment = 0.0 μB per cell
! space-group type = No. 123
! formation enthalpy at 0 K = -184 meV/atom
&SYSTEM
  ibrav = 0, nat = 20, ntyp = 3
/
ATOMIC_SPECIES
La 138.91 La.upf
Pr 140.91 Pr.upf
Tl 204.38 Tl.upf
ATOMIC_POSITIONS crystal
La 0.000 0.000 0.000
La 0.000 0.000 0.206
La 0.000 0.000 0.401
La 0.000 0.000 0.599
La 0.000 0.000 0.794
La 0.000 0.500 0.105
La 0.000 0.500 0.303
La 0.000 0.500 0.500
La 0.000 0.500 0.697
La 0.000 0.500 0.895
La 0.500 0.000 0.105
La 0.500 0.000 0.303
La 0.500 0.000 0.500
La 0.500 0.000 0.697
La 0.500 0.000 0.895
Pr 0.500 0.500 0.000
Tl 0.500 0.500 0.205
Tl 0.500 0.500 0.402
Tl 0.500 0.500 0.598
Tl 0.500 0.500 0.795
CELL_PARAMETERS angstrom
5.088 0.000 0.000
0.000 5.088 0.000
0.000 0.000 25.803

Record 16
! MgZrAgPt GGA-PBE optimized geometry; values from VASP
! DFT total energy = -0.196 Ha/atom
! total magnetic moment = 0.0 μB per cell
! space-group type = No. 216
! formation enthalpy at 0 K = -573 meV/atom
&SYSTEM
  ibrav = 0, nat = 4, ntyp = 4
/
ATOMIC_SPECIES
Mg 24.30 Mg.upf
Zr 91.22 Zr.upf
Ag 107.87 Ag.upf
Pt 195.08 Pt.upf
ATOMIC_POSITIONS crystal
Mg 0.000 0.000 0.000
Zr 0.500 0.500 0.500
Ag 0.250 0.250 0.250
Pt 0.750 0.750 0.750
CELL_PARAMETERS angstrom
0.000 3.323 3.323
3.323 0.000 3.323
3.323 3.323 0.000

Record 17
! Mg2RhIF GGA-PBE optimized geometry; values from VASP
! DFT total energy = -0.088 Ha/atom
! E_form (uncorrected) = 0.40 eV/atom
! total magnetic moment = 0.0 μB per cell
! space-group type = No. 123
&SYSTEM
  ibrav = 0, nat = 5, ntyp = 4
/
ATOMIC_SPECIES
Mg 24.30 Mg.upf
Rh 102.91 Rh.upf
I 126.90 I.upf
F 19.00 F.upf
ATOMIC_POSITIONS crystal
Mg 0.000 0.500 0.000
Mg 0.500 0.000 0.000
Rh 0.000 0.000 0.500
I 0.500 0.500 0.000
F 0.500 0.500 0.500
CELL_PARAMETERS angstrom
5.443 0.000 0.000
0.000 5.443 0.000
0.000 0.000 4.397

Record 18
! Re2SnCl2 GGA-PBE optimized geometry; values from VASP
! DFT total energy = -0.193 Ha/atom
! E_form (uncorrected) = 1.27 eV/atom
! excess energy over the best structure of this formula in the dataset = 182.5 meV per atom
! total magnetic moment = 0.0 μB per cell
! space-group type = No. 127
&SYSTEM
  ibrav = 0, nat = 10, ntyp = 3
/
ATOMIC_SPECIES
Re 186.21 Re.upf
Sn 118.71 Sn.upf
Cl 35.45 Cl.upf
ATOMIC_POSITIONS crystal
Re 0.219 0.281 0.000
Re 0.281 0.781 0.000
Re 0.719 0.219 0.000
Re 0.781 0.719 0.000
Sn 0.000 0.000 0.500
Sn 0.500 0.500 0.500
Cl 0.122 0.622 0.500
Cl 0.378 0.122 0.500
Cl 0.622 0.878 0.500
Cl 0.878 0.378 0.500
CELL_PARAMETERS angstrom
8.148 0.000 0.000
0.000 8.148 0.000
0.000 0.000 2.826

Record 19
! Tl6Co3Br14 GGA-PBE optimized geometry; values from VASP
! DFT total energy = -0.116 Ha/atom
! E_form (uncorrected) = -0.58 eV/atom
! total magnetic moment = 11.1 μB per cell
! space-group type = No. 143
&SYSTEM
  ibrav = 0, nat = 23, ntyp = 3
/
ATOMIC_SPECIES
Tl 204.38 Tl.upf
Co 58.93 Co.upf
Br 79.90 Br.upf
ATOMIC_POSITIONS crystal
Tl 0.023 0.463 0.000
Tl 0.307 0.206 0.505
Tl 0.440 0.977 0.000
Tl 0.537 0.560 0.000
Tl 0.794 0.101 0.505
Tl 0.899 0.693 0.505
Co 0.000 0.000 0.075
Co 0.333 0.667 0.583
Co 0.667 0.333 0.722
Br 0.000 0.000 0.724
Br 0.074 0.212 0.201
Br 0.139 0.926 0.201
Br 0.199 0.746 0.709
Br 0.254 0.453 0.709
Br 0.333 0.667 0.232
Br 0.459 0.258 0.944
Br 0.532 0.125 0.509
Br 0.547 0.801 0.709
Br 0.593 0.468 0.509
Br 0.742 0.201 0.944
Br 0.788 0.861 0.201
Br 0.799 0.541 0.944
Br 0.875 0.407 0.509
CELL_PARAMETERS angstrom
11.796 0.000 0.000
-5.898 10.216 0.000
0.000 0.000 6.656

Record 20
! CdCuH GGA-PBE optimized geometry; values from VASP
! DFT total energy = -0.098 Ha/atom
! excess energy over the best structure of this formula in the dataset = 0.0 meV per atom
! total magnetic moment = 0.0 μB per cell
! space-group type = No. 2
&SYSTEM
  ibrav = 0, nat = 6, ntyp = 3
/
ATOMIC_SPECIES
Cd 112.41 Cd.upf
Cu 63.55 Cu.upf
H 1.01 H.upf
ATOMIC_POSITIONS crystal
Cd 0.242 0.228 0.213
Cd 0.758 0.772 0.787
Cu 0.252 0.256 0.941
Cu 0.748 0.744 0.059
H 0.483 0.482 0.531
H 0.517 0.518 0.469
CELL_PARAMETERS angstrom
2.925 0.000 0.000
0.013 2.974 0.000
0.105 0.301 11.920